(1)
Entry from Alexandria via LeMat-Bulk: an optimized crystal structure of In6Pd3Pt (GGA-PBE).

Cell and atoms, written as extended XYZ:
```
20
Lattice="7.4913 0.0000 0.0000 0.0000 6.4953 0.0000 -6.2213 0.0000 8.8904" Properties=species:S:1:pos:R:3 pbc="T T T"
In -1.2230 0.0452 2.4171
In -4.3336 3.2025 6.8624
In -1.8108 1.0251 5.3062
In 1.2999 2.2226 0.8610
In -0.5829 4.1115 4.9779
In 2.5278 5.6314 0.5327
In -1.2577 0.8639 8.3577
In 1.8529 2.3837 3.9125
In -0.0298 4.2727 8.0294
In 3.0808 5.4702 3.5842
In 5.6037 3.2928 2.0281
In 2.4930 6.4501 6.4733
Pd 0.5988 4.4363 2.3639
Pd -2.5119 5.3066 6.8091
Pd 0.6350 0.0000 4.4452
Pd 3.7457 3.2476 0.0000
Pd 3.7819 1.1886 2.0813
Pd 0.6713 2.0590 6.5265
Pt 0.0000 0.0000 0.0000
Pt -3.1106 3.2476 4.4452
```

Results
* E_tot: -4.149 eV per atom
* formation energy: -7.944 kcal/mol of atoms
* D(E_F): 4.1 states/eV/f.u.
* space group: P2_1/c (14)
* total magnetization: 0.0 μB per formula unit

(2)
Entry from Alexandria via LeMat-Bulk: an optimized crystal structure of InPd12Pt6 (GGA-PBE).

Cell and atoms, written as extended XYZ:
```
19
Lattice="5.8048 3.3514 2.7200 -5.8048 3.3514 2.7200 0.0000 -6.7028 2.7200" Properties=species:S:1:pos:R:3 pbc="T T T"
In 0.0000 0.0000 0.0000
Pd -2.2973 -0.6048 2.0326
Pd -1.7462 -4.8063 3.4085
Pd -5.0355 -0.8909 4.7515
Pd 1.6724 -1.6871 2.0326
Pd -3.2893 3.9154 3.4085
Pd 0.6249 2.2919 2.0326
Pd -0.6249 -2.2919 6.1274
Pd 3.2893 -3.9154 4.7515
Pd -1.6724 1.6871 6.1274
Pd 5.0355 0.8909 3.4085
Pd 1.7462 4.8063 4.7515
Pd 2.2973 0.6048 6.1274
Pt -0.6515 -2.2788 3.4333
Pt -2.2993 -0.5752 4.7268
Pt -1.6477 1.7036 3.4333
Pt 1.6477 -1.7036 4.7267
Pt 2.2993 0.5752 3.4333
Pt 0.6515 2.2788 4.7267
```

Results
* E_tot: -5.296 eV per atom
* formation energy: 0.823 kcal/mol of atoms
* D(E_F): 33.8 states/eV/f.u.
* space group: R-3 (148)
* total magnetization: 0.0 μB per formula unit

(3)
Entry from Alexandria via LeMat-Bulk: an optimized crystal structure of In4Pd3Pt2 (GGA-PBE).

Cell and atoms, written as extended XYZ:
```
9
Lattice="4.1361 0.0000 0.0000 -2.0619 4.4251 0.0000 -0.0155 -1.9019 8.7712" Properties=species:S:1:pos:R:3 pbc="T T T"
In -0.0020 -0.4222 3.0199
In 0.0032 2.7968 1.0154
In 2.0555 -0.2736 7.7558
In 2.0607 2.9453 5.7513
Pd 0.0000 0.0000 0.0000
Pd 0.0035 2.1906 3.7608
Pd 2.0553 0.3326 5.0104
Pt -0.0106 1.4140 6.9549
Pt 2.0694 1.1092 1.8163
```

Results
* E_tot: -4.730 eV per atom
* formation energy: -10.138 kcal/mol of atoms
* D(E_F): 2.6 states/eV/f.u.
* space group: P-1 (2)
* total magnetization: 0.0 μB per formula unit

(4)
Entry from Alexandria via LeMat-Bulk: an optimized crystal structure of In2Pd8Pt3 (GGA-PBE).

Cell and atoms, written as extended XYZ:
```
13
Lattice="6.4716 -3.6653 0.0000 6.4716 3.6653 0.0000 -0.4253 0.0000 4.6824" Properties=species:S:1:pos:R:3 pbc="T T T"
In 1.9409 0.0000 1.2611
In 10.5771 0.0000 3.4212
Pd 0.3701 0.0000 3.5552
Pd 4.1289 1.5254 1.4968
Pd 3.6723 0.0000 3.8033
Pd 8.3891 1.5254 3.1856
Pd 4.1289 -1.5254 1.4968
Pd 8.8457 0.0000 0.8791
Pd 8.3891 -1.5254 3.1856
Pd 12.1479 0.0000 1.1272
Pt 6.4716 1.3224 0.0000
Pt 6.2590 0.0000 2.3412
Pt 6.4716 -1.3224 0.0000
```

Results
* E_tot: -5.120 eV per atom
* formation energy: -2.520 kcal/mol of atoms
* D(E_F): 13.8 states/eV/f.u.
* space group: C2/m (12)
* total magnetization: 0.0 μB per formula unit

(5)
Entry from Alexandria via LeMat-Bulk: an optimized crystal structure of InPd2Pt8 (GGA-PBE).

Cell and atoms, written as extended XYZ:
```
11
Lattice="7.2188 -1.9889 0.0000 7.2188 1.9889 0.0000 -1.6606 0.0000 6.1016" Properties=species:S:1:pos:R:3 pbc="T T T"
In 0.0000 0.0000 0.0000
Pd 3.3609 0.0000 2.2345
Pd 9.4162 0.0000 3.8671
Pt 0.5769 0.0000 2.7458
Pt 1.1267 0.0000 5.5606
Pt 3.8845 0.0000 4.9942
Pt 6.0827 0.0000 1.6956
Pt 6.6944 0.0000 4.4060
Pt 8.8925 0.0000 1.1074
Pt 11.6503 0.0000 0.5410
Pt 12.2002 0.0000 3.3558
```

Results
* E_tot: -5.732 eV per atom
* formation energy: -3.350 kcal/mol of atoms
* D(E_F): 17.1 states/eV/f.u.
* space group: C2/m (12)
* total magnetization: 0.0 μB per formula unit

(6)
Entry from Alexandria via LeMat-Bulk: an optimized crystal structure of InPdPt5 (GGA-PBE).

Cell and atoms, written as extended XYZ:
```
7
Lattice="-2.6865 4.2926 3.7048 2.6865 -4.2926 3.7048 2.6865 4.2926 -3.7048" Properties=species:S:1:pos:R:3 pbc="T T T"
In 0.0000 0.0000 0.0000
Pd 2.6865 0.0000 0.0511
Pt 0.0000 0.0000 2.9209
Pt 0.0000 2.1125 1.7388
Pt 1.3233 4.2926 1.3324
Pt 1.3632 0.0000 5.0372
Pt 0.0000 6.4728 1.7388
```

Results
* E_tot: -5.005 eV per atom
* formation energy: 10.207 kcal/mol of atoms
* D(E_F): 3.7 states/eV/f.u.
* space group: Imm2 (44)
* total magnetization: 0.0 μB per formula unit

(7)
Entry from Alexandria via LeMat-Bulk: an optimized crystal structure of InPd7Pt2 (GGA-PBE).

Cell and atoms, written as extended XYZ:
```
10
Lattice="3.6276 -6.4091 0.0000 3.6276 6.4091 0.0000 0.0000 0.0000 4.4215" Properties=species:S:1:pos:R:3 pbc="T T T"
In 0.0000 0.0000 0.0000
Pd 1.3239 1.3985 2.2108
Pd 3.6276 3.7800 0.0000
Pd 1.3239 -1.3985 2.2108
Pd 3.6276 0.0000 2.2108
Pd 5.9312 1.3985 2.2108
Pd 3.6276 -3.7800 0.0000
Pd 5.9312 -1.3985 2.2108
Pt 3.6276 2.5618 2.2108
Pt 3.6276 -2.5618 2.2108
```

Results
* E_tot: -4.811 eV per atom
* formation energy: 7.061 kcal/mol of atoms
* D(E_F): 18.1 states/eV/f.u.
* space group: Cmmm (65)
* total magnetization: 0.0 μB per formula unit

(8)
Entry from Alexandria via LeMat-Bulk: an optimized crystal structure of InPd3Pt3 (GGA-PBE).

Cell and atoms, written as extended XYZ:
```
14
Lattice="5.2039 0.0000 0.0000 2.3377 6.3191 0.0000 0.9703 -0.2074 7.0884" Properties=species:S:1:pos:R:3 pbc="T T T"
In 0.0000 0.0000 0.0000
In 4.4197 3.4299 4.5274
Pd 2.1300 3.4910 0.2733
Pd 2.2443 0.8300 1.4093
Pd 2.3906 -0.0152 4.2324
Pd 4.7410 2.5016 1.1650
Pd 5.0556 0.9399 3.3564
Pd 7.3457 4.9393 4.8049
Pt 1.9321 2.7499 3.0915
Pt 3.5067 4.7684 2.2783
Pt 4.0565 1.0762 5.9915
Pt 5.6253 4.6610 6.8101
Pt 6.1006 5.0692 2.1855
Pt 6.6051 2.1925 5.6296
```

Results
* E_tot: -5.355 eV per atom
* formation energy: -3.437 kcal/mol of atoms
* D(E_F): 8.9 states/eV/f.u.
* space group: P1 (1)
* total magnetization: 0.0 μB per formula unit

(9)
Entry from Alexandria via LeMat-Bulk: an optimized crystal structure of In4Pd2Pt5 (GGA-PBE).

Cell and atoms, written as extended XYZ:
```
11
Lattice="0.0000 4.8228 8.9665 2.7924 0.0000 8.9665 2.7924 4.8228 0.0000" Properties=species:S:1:pos:R:3 pbc="T T T"
In 2.7924 1.6055 6.7171
In 2.7924 1.6055 11.2159
In 2.7924 8.0401 6.7171
In 2.7924 8.0401 11.2159
Pd 2.7924 4.8228 4.4727
Pd 2.7924 4.8228 13.4603
Pt 0.0000 0.0000 0.0000
Pt 1.3962 2.4114 0.0000
Pt 1.3962 2.4114 4.4832
Pt 1.3962 2.4114 8.9665
Pt 4.1885 7.2342 13.4497
```

Results
* E_tot: -4.905 eV per atom
* formation energy: -5.059 kcal/mol of atoms
* D(E_F): 7.0 states/eV/f.u.
* space group: Fmmm (69)
* total magnetization: 0.0 μB per formula unit

(10)
Entry from Alexandria via LeMat-Bulk: an optimized crystal structure of InPd2Pt (GGA-PBE).

Cell and atoms, written as extended XYZ:
```
4
Lattice="4.0666 0.0000 0.0000 0.0000 4.0666 0.0000 0.0000 0.0000 3.9880" Properties=species:S:1:pos:R:3 pbc="T T T"
In 0.0000 0.0000 0.0000
Pd 0.0000 2.0333 1.9940
Pd 2.0333 0.0000 1.9940
Pt 2.0333 2.0333 0.0000
```

Results
* E_tot: -5.205 eV per atom
* formation energy: -9.543 kcal/mol of atoms
* D(E_F): 4.4 states/eV/f.u.
* space group: P4/mmm (123)
* total magnetization: 0.0 μB per formula unit

(11)
Entry from Alexandria via LeMat-Bulk: an optimized crystal structure of In2Pd4Pt3 (GGA-PBE).

Cell and atoms, written as extended XYZ:
```
9
Lattice="4.1019 0.0000 0.0000 2.0485 4.4070 0.0000 0.0173 2.4300 8.1799" Properties=species:S:1:pos:R:3 pbc="T T T"
In 1.0274 1.2506 1.8108
In 5.1403 5.5863 6.3691
Pd 1.0416 2.9042 7.2658
Pd 3.0877 3.8379 5.4340
Pd 3.0800 2.9990 2.7460
Pd 5.1261 3.9328 0.9142
Pt 1.0357 2.1087 4.5091
Pt 3.0752 2.2035 0.0000
Pt 5.1320 4.7283 3.6708
```

Results
* E_tot: -5.288 eV per atom
* formation energy: -8.244 kcal/mol of atoms
* D(E_F): 6.2 states/eV/f.u.
* space group: P-1 (2)
* total magnetization: 0.0 μB per formula unit

(12)
Entry from Alexandria via LeMat-Bulk: an optimized crystal structure of InPd2Pt2 (GGA-PBE).

Cell and atoms, written as extended XYZ:
```
5
Lattice="-1.8228 1.8228 6.9053 1.8228 -1.8228 6.9053 1.8228 1.8228 -6.9053" Properties=species:S:1:pos:R:3 pbc="T T T"
In 0.0000 0.0000 0.0000
Pd 0.0000 0.0000 5.5593
Pd 0.0000 0.0000 8.2512
Pt 1.8228 0.0000 3.4526
Pt 0.0000 1.8228 3.4526
```

Results
* E_tot: -5.066 eV per atom
* formation energy: -0.578 kcal/mol of atoms
* D(E_F): 4.3 states/eV/f.u.
* space group: I4/mmm (139)
* total magnetization: 0.0 μB per formula unit

(13)
Entry from Alexandria via LeMat-Bulk: an optimized crystal structure of In4Pd5Pt2 (GGA-PBE).

Cell and atoms, written as extended XYZ:
```
11
Lattice="-1.4320 3.6900 10.6084 1.4320 -3.6900 10.6084 1.4320 3.6900 -10.6084" Properties=species:S:1:pos:R:3 pbc="T T T"
In 0.0000 0.0000 3.2461
In 1.4320 1.3973 0.0000
In 0.0000 2.2927 10.6084
In 0.0000 0.0000 17.9707
Pd 1.4320 2.2640 -2.4951
Pd 1.4320 2.2640 2.4951
Pd 0.0000 3.6900 0.0000
Pd 0.0000 1.4260 8.1133
Pd 0.0000 1.4260 13.1034
Pt 0.0000 0.0000 5.8846
Pt 0.0000 0.0000 15.3322
```

Results
* E_tot: -4.364 eV per atom
* formation energy: 2.089 kcal/mol of atoms
* D(E_F): 9.5 states/eV/f.u.
* space group: Immm (71)
* total magnetization: 0.0 μB per formula unit

(14)
Entry from Alexandria via LeMat-Bulk: an optimized crystal structure of In2Pd5Pt5 (GGA-PBE).

Cell and atoms, written as extended XYZ:
```
12
Lattice="6.0668 -2.0043 0.0000 6.0668 2.0043 0.0000 -4.1216 0.0000 7.9634" Properties=species:S:1:pos:R:3 pbc="T T T"
In -0.0180 0.0000 1.9942
In 8.0299 0.0000 5.9693
Pd 1.9957 0.0000 3.9737
Pd 4.0091 0.0000 1.9982
Pd 6.0668 0.0000 0.0000
Pd 4.0029 0.0000 5.9652
Pd 6.0163 0.0000 3.9897
Pt -2.0608 0.0000 3.9817
Pt -2.0716 0.0000 7.9623
Pt -0.0785 0.0000 5.9793
Pt 8.0904 0.0000 1.9842
Pt 10.0835 0.0000 0.0011
```

Results
* E_tot: -5.424 eV per atom
* formation energy: -6.617 kcal/mol of atoms
* D(E_F): 13.6 states/eV/f.u.
* space group: C2/m (12)
* total magnetization: 0.0 μB per formula unit

(15)
Entry from Alexandria via LeMat-Bulk: an optimized crystal structure of InPd7Pt3 (GGA-PBE).

Cell and atoms, written as extended XYZ:
```
11
Lattice="5.5845 0.0000 0.0000 -2.7923 4.8363 0.0000 0.0000 0.0000 6.7915" Properties=species:S:1:pos:R:3 pbc="T T T"
In 0.0000 0.0000 0.0000
Pd 0.0000 3.2242 2.2015
Pd 1.4216 0.8207 2.2509
Pd 2.7923 0.0207 6.6984
Pd 1.4141 2.4078 6.6984
Pd 4.1629 0.8207 2.2509
Pd 2.7923 3.1948 2.2509
Pd 4.1704 2.4078 6.6984
Pt 0.0000 1.6189 4.4538
Pt -1.3902 4.0268 4.4538
Pt 1.3902 4.0268 4.4538
```

Results
* E_tot: -5.267 eV per atom
* formation energy: -1.519 kcal/mol of atoms
* D(E_F): 15.1 states/eV/f.u.
* space group: P3m1 (156)
* total magnetization: 0.0 μB per formula unit

(16)
Entry from Alexandria via LeMat-Bulk: an optimized crystal structure of In3Pd7Pt2 (GGA-PBE).

Cell and atoms, written as extended XYZ:
```
12
Lattice="0.0000 3.8261 8.8026 2.9436 0.0000 8.8026 2.9436 3.8261 0.0000" Properties=species:S:1:pos:R:3 pbc="T T T"
In 0.0000 0.0000 0.0000
In 2.9436 3.8261 5.8665
In 2.9436 3.8261 11.7386
Pd 1.4718 1.9131 1.4802
Pd 1.4724 1.9120 4.4027
Pd 1.4718 1.9131 7.3224
Pd 2.9436 3.8261 8.8026
Pd 4.4154 5.7392 10.2828
Pd 4.4160 5.7402 13.2053
Pd 4.4154 5.7392 16.1249
Pt 2.9436 3.8261 2.9325
Pt 2.9436 3.8261 14.6727
```

Results
* E_tot: -5.140 eV per atom
* formation energy: -9.664 kcal/mol of atoms
* D(E_F): 5.3 states/eV/f.u.
* space group: Fmmm (69)
* total magnetization: 0.0 μB per formula unit

(17)
Entry from Alexandria via LeMat-Bulk: an optimized crystal structure of In2Pd3Pt4 (GGA-PBE).

Cell and atoms, written as extended XYZ:
```
9
Lattice="-2.3136 4.1005 4.8252 2.3136 -4.1005 4.8252 2.3136 4.1005 -4.8252" Properties=species:S:1:pos:R:3 pbc="T T T"
In 0.0000 1.8045 0.0000
In 0.0000 6.3964 0.0000
Pd 2.3136 0.0000 0.0000
Pd 0.0000 0.0000 2.1230
Pd 0.0000 0.0000 7.5275
Pt 2.3136 -1.3900 2.3226
Pt 2.3136 1.3900 2.3226
Pt 0.0000 2.7105 2.5026
Pt 0.0000 5.4905 2.5026
```

Results
* E_tot: -5.195 eV per atom
* formation energy: -3.925 kcal/mol of atoms
* D(E_F): 4.4 states/eV/f.u.
* space group: Immm (71)
* total magnetization: 0.0 μB per formula unit

(18)
Entry from Alexandria via LeMat-Bulk: an optimized crystal structure of InPdPt6 (GGA-PBE).

Cell and atoms, written as extended XYZ:
```
8
Lattice="3.9944 0.0000 0.0000 0.0000 3.9944 0.0000 0.0000 0.0000 8.0538" Properties=species:S:1:pos:R:3 pbc="T T T"
In 0.0000 0.0000 0.0000
Pd 0.0000 0.0000 4.0269
Pt 0.0000 1.9972 2.0432
Pt 0.0000 1.9972 6.0107
Pt 1.9972 0.0000 2.0432
Pt 1.9972 0.0000 6.0107
Pt 1.9972 1.9972 0.0000
Pt 1.9972 1.9972 4.0269
```

Results
* E_tot: -5.709 eV per atom
* formation energy: -4.321 kcal/mol of atoms
* D(E_F): 11.3 states/eV/f.u.
* space group: P4/mmm (123)
* total magnetization: 0.0 μB per formula unit

(19)
Entry from Alexandria via LeMat-Bulk: an optimized crystal structure of In3PdPt (GGA-PBE).

Cell and atoms, written as extended XYZ:
```
5
Lattice="5.1152 0.0000 0.0000 0.0000 5.1152 0.0000 0.0000 0.0000 5.1152" Properties=species:S:1:pos:R:3 pbc="T T T"
In 0.0000 0.0000 2.5576
In 0.0000 2.5576 0.0000
In 2.5576 0.0000 0.0000
Pd 2.5576 2.5576 2.5576
Pt 0.0000 0.0000 0.0000
```

Results
* E_tot: -3.832 eV per atom
* formation energy: 1.344 kcal/mol of atoms
* D(E_F): 2.1 states/eV/f.u.
* space group: Pm-3m (221)
* total magnetization: 0.0 μB per formula unit

(20)
Entry from Alexandria via LeMat-Bulk: an optimized crystal structure of In6Pd8Pt (GGA-PBE).

Cell and atoms, written as extended XYZ:
```
15
Lattice="3.9031 2.2535 5.5370 -3.9031 2.2535 5.5370 0.0000 -4.5069 5.5370" Properties=species:S:1:pos:R:3 pbc="T T T"
In -2.6157 0.0942 7.2337
In -1.3894 -2.2181 9.3775
In 1.2262 -2.3123 7.2337
In -1.2262 2.3124 9.3775
In 1.3894 2.2181 7.2337
In 2.6157 -0.0942 9.3775
Pd -1.3611 -2.2009 6.5248
Pd 0.0000 0.0000 2.9202
Pd -2.5865 0.0783 10.0863
Pd -1.2255 2.2791 6.5248
Pd 1.2255 -2.2791 10.0863
Pd 2.5865 -0.0783 6.5248
Pd 0.0000 0.0000 13.6909
Pd 1.3611 2.2009 10.0863
Pt 0.0000 0.0000 8.3056
```

Results
* E_tot: -4.600 eV per atom
* formation energy: -7.666 kcal/mol of atoms
* D(E_F): 8.5 states/eV/f.u.
* space group: R-3 (148)
* total magnetization: 0.0 μB per formula unit